1.
# GGA-PBE Pm2Er2Cd, optimized geometry
# DOS at the Fermi energy (states/eV/cell): 7.48
# Energy (eV for the cell shown): -17.577
# Energy relative to the lowest polymorph listed for this composition (eV/atom): 0.505
data_Pm2Er2Cd
_cell_length_a 9.2981
_cell_length_b 9.2981
_cell_length_c 9.2981
_cell_angle_alpha 153.08
_cell_angle_beta 153.08
_cell_angle_gamma 38.44
_symmetry_space_group_name_H-M 'P 1'
_symmetry_Int_Tables_number 1
_symmetry_space_group_name_Hall 'P 1'
loop_
_atom_site_label
_atom_site_fract_x
_atom_site_fract_y
_atom_site_fract_z
Pm1 0.2500 0.7500 0.5000
Pm2 0.7500 0.2500 0.5000
Er1 0.0881 0.0881 0.0000
Er2 0.9119 0.9119 0.0000
Cd1 0.5000 0.5000 0.0000

---

2.
# GGA-PBE Pm3Er4Cd2, optimized geometry
# DOS at the Fermi energy (states/eV/cell): 11.07
# Energy (eV for the cell shown): -34.980
data_Pm3Er4Cd2
_cell_length_a 7.7669
_cell_length_b 7.7669
_cell_length_c 7.7929
_cell_angle_alpha 107.49
_cell_angle_beta 107.49
_cell_angle_gamma 36.67
_symmetry_space_group_name_H-M 'P 1'
_symmetry_Int_Tables_number 1
_symmetry_space_group_name_Hall 'P 1'
loop_
_atom_site_label
_atom_site_fract_x
_atom_site_fract_y
_atom_site_fract_z
Pm1 0.0000 0.0000 0.0000
Pm2 0.1139 0.1139 0.6672
Pm3 0.8861 0.8861 0.3328
Er1 0.2217 0.2217 0.3200
Er2 0.4421 0.4421 0.6662
Er3 0.5579 0.5579 0.3338
Er4 0.7783 0.7783 0.6800
Cd1 0.3331 0.3331 0.9985
Cd2 0.6669 0.6669 0.0015

---

3.
# GGA-PBE Pm4ErCd, optimized geometry
# DOS at the Fermi energy (states/eV/cell): 7.27
# Energy (eV for the cell shown): -25.041
# Energy relative to the lowest polymorph listed for this composition (eV/atom): 0.000
data_Pm4ErCd
_cell_length_a 3.6504
_cell_length_b 3.6504
_cell_length_c 14.2545
_cell_angle_alpha 90.00
_cell_angle_beta 90.00
_cell_angle_gamma 90.00
_symmetry_space_group_name_H-M 'P 1'
_symmetry_Int_Tables_number 1
_symmetry_space_group_name_Hall 'P 1'
loop_
_atom_site_label
_atom_site_fract_x
_atom_site_fract_y
_atom_site_fract_z
Pm1 0.0000 0.0000 0.1475
Pm2 0.0000 0.0000 0.8525
Pm3 0.5000 0.5000 0.3257
Pm4 0.5000 0.5000 0.6743
Er1 0.0000 0.0000 0.5000
Cd1 0.5000 0.5000 0.0000

---

4.
# GGA-PBE Pm3Er2Cd3, optimized geometry
# DOS at the Fermi energy (states/eV/cell): 11.00
# Energy (eV for the cell shown): -28.000
data_Pm3Er2Cd3
_cell_length_a 11.7000
_cell_length_b 11.7000
_cell_length_c 11.7000
_cell_angle_alpha 161.58
_cell_angle_beta 152.96
_cell_angle_gamma 32.92
_symmetry_space_group_name_H-M 'P 1'
_symmetry_Int_Tables_number 1
_symmetry_space_group_name_Hall 'P 1'
loop_
_atom_site_label
_atom_site_fract_x
_atom_site_fract_y
_atom_site_fract_z
Pm1 0.0000 0.0000 0.0000
Pm2 0.3756 0.8756 0.5000
Pm3 0.6244 0.1244 0.5000
Er1 0.2348 0.2348 0.0000
Er2 0.7652 0.7652 0.0000
Cd1 0.1208 0.6208 0.5000
Cd2 0.5000 0.5000 0.0000
Cd3 0.8792 0.3792 0.5000

---

5.
# GGA-PBE PmErCd4, optimized geometry
# DOS at the Fermi energy (states/eV/cell): 4.41
# Energy (eV for the cell shown): -14.530
# Energy relative to the lowest polymorph listed for this composition (eV/atom): 0.059
data_PmErCd4
_cell_length_a 5.9328
_cell_length_b 5.9328
_cell_length_c 5.9328
_cell_angle_alpha 60.00
_cell_angle_beta 60.00
_cell_angle_gamma 60.00
_symmetry_space_group_name_H-M 'P 1'
_symmetry_Int_Tables_number 1
_symmetry_space_group_name_Hall 'P 1'
loop_
_atom_site_label
_atom_site_fract_x
_atom_site_fract_y
_atom_site_fract_z
Pm1 0.0000 0.0000 0.0000
Er1 0.7500 0.7500 0.7500
Cd1 0.3750 0.3750 0.3750
Cd2 0.3750 0.3750 0.8750
Cd3 0.3750 0.8750 0.3750
Cd4 0.8750 0.3750 0.3750

---

6.
# GGA-PBE PmEr5Cd4, optimized geometry
# DOS at the Fermi energy (states/eV/cell): 11.88
# Energy (eV for the cell shown): -33.641
data_PmEr5Cd4
_cell_length_a 3.6704
_cell_length_b 3.6704
_cell_length_c 20.1387
_cell_angle_alpha 90.00
_cell_angle_beta 90.00
_cell_angle_gamma 90.00
_symmetry_space_group_name_H-M 'P 1'
_symmetry_Int_Tables_number 1
_symmetry_space_group_name_Hall 'P 1'
loop_
_atom_site_label
_atom_site_fract_x
_atom_site_fract_y
_atom_site_fract_z
Pm1 0.0000 0.0000 0.0000
Er1 0.5000 0.5000 0.1235
Er2 0.5000 0.5000 0.3127
Er3 0.5000 0.5000 0.5000
Er4 0.5000 0.5000 0.6873
Er5 0.5000 0.5000 0.8765
Cd1 0.0000 0.0000 0.2176
Cd2 0.0000 0.0000 0.4053
Cd3 0.0000 0.0000 0.5947
Cd4 0.0000 0.0000 0.7824

---

Look up the energy of the third one.
-25.041 eV for the cell shown